Below is Rb2ErTmTe4 after structural relaxation, with properties calculated at the PBE-GGA level.

Computed properties:
The crystal system is monoclinic. For the electronic total energy, the calculation gives -4.305 eV/atom.

Cell and atoms, written as CIF:
```
data_Rb2ErTmTe4
_symmetry_space_group_name_H-M 'P 1'
_symmetry_Int_Tables_number 1
_symmetry_space_group_name_Hall 'P 1'
_cell_length_a 4.4904
_cell_length_b 7.7754
_cell_length_c 8.9297
_cell_angle_alpha 106.87
_cell_angle_beta 90.00
_cell_angle_gamma 90.00
loop_
_atom_site_label
_atom_site_type_symbol
_atom_site_fract_x
_atom_site_fract_y
_atom_site_fract_z
Te1 Te 0.5000 0.2314 0.1970
Te2 Te 0.0000 0.7333 0.1975
Te3 Te 0.0000 0.2667 0.8025
Te4 Te 0.5000 0.7686 0.8030
Er1 Er 0.5000 0.5000 0.0000
Tm1 Tm 0.0000 0.0000 0.0000
Rb1 Rb 0.5000 0.0000 0.5000
Rb2 Rb 0.0000 0.5000 0.5000
```

=====

Below is Rb2ErU2Te6 after structural relaxation, with properties calculated at the PBE-GGA level.

Computed properties:
The crystal system is monoclinic. For the electronic total energy, the calculation gives -5.347 eV/atom.

Cell and atoms, written as CIF:
```
data_Rb2ErU2Te6
_symmetry_space_group_name_H-M 'P 1'
_symmetry_Int_Tables_number 1
_symmetry_space_group_name_Hall 'P 1'
_cell_length_a 7.6877
_cell_length_b 7.6877
_cell_length_c 9.1722
_cell_angle_alpha 98.07
_cell_angle_beta 98.07
_cell_angle_gamma 120.00
loop_
_atom_site_label
_atom_site_type_symbol
_atom_site_fract_x
_atom_site_fract_y
_atom_site_fract_z
Te1 Te 0.3976 0.0679 0.6979
Te2 Te 0.2668 0.2668 0.3029
Te3 Te 0.7332 0.7332 0.6971
Te4 Te 0.9321 0.6024 0.3021
Te5 Te 0.0679 0.3976 0.6979
Te6 Te 0.6024 0.9321 0.3021
U1 U 0.6671 0.3329 0.5000
U2 U 0.3329 0.6671 0.5000
Er1 Er 0.0000 0.0000 0.5000
Rb1 Rb 0.1667 0.8333 0.0000
Rb2 Rb 0.8333 0.1667 0.0000
```

=====

Below is Rb4ErU3Te8 after structural relaxation, with properties calculated at the PBE-GGA level.

Computed properties:
The crystal system is trigonal. For the electronic total energy, the calculation gives -5.173 eV/atom.

Cell and atoms, written as CIF:
```
data_Rb4ErU3Te8
_symmetry_space_group_name_H-M 'P 1'
_symmetry_Int_Tables_number 1
_symmetry_space_group_name_Hall 'P 1'
_cell_length_a 9.0562
_cell_length_b 10.0691
_cell_length_c 9.0560
_cell_angle_alpha 116.72
_cell_angle_beta 120.00
_cell_angle_gamma 90.00
loop_
_atom_site_label
_atom_site_type_symbol
_atom_site_fract_x
_atom_site_fract_y
_atom_site_fract_z
Rb1 Rb 0.5000 0.0000 0.5000
Rb2 Rb 0.0000 0.0000 0.0000
Rb3 Rb 0.5000 0.0000 0.0000
Rb4 Rb 0.0000 0.0000 0.5000
U1 U 0.5000 0.5000 0.5000
U2 U 0.0000 0.5000 0.5000
U3 U 0.5000 0.5000 0.0000
Te1 Te 0.2312 0.7010 0.9699
Te2 Te 0.2613 0.2990 0.0301
Te3 Te 0.7387 0.7010 0.9699
Te4 Te 0.2657 0.2970 0.5313
Te5 Te 0.2312 0.7010 0.4624
Te6 Te 0.7688 0.2990 0.0301
Te7 Te 0.7343 0.7030 0.4687
Te8 Te 0.7688 0.2990 0.5376
Er1 Er 0.0000 0.5000 0.0000
```

=====

Below is Rb2Er2UTe6 after structural relaxation, with properties calculated at the PBE-GGA level.

Computed properties:
The crystal system is monoclinic. For the electronic total energy, the calculation gives -4.913 eV/atom.

Cell and atoms, written as CIF:
```
data_Rb2Er2UTe6
_symmetry_space_group_name_H-M 'P 1'
_symmetry_Int_Tables_number 1
_symmetry_space_group_name_Hall 'P 1'
_cell_length_a 7.6590
_cell_length_b 7.6590
_cell_length_c 9.1587
_cell_angle_alpha 98.06
_cell_angle_beta 98.06
_cell_angle_gamma 119.96
loop_
_atom_site_label
_atom_site_type_symbol
_atom_site_fract_x
_atom_site_fract_y
_atom_site_fract_z
Er1 Er 0.6677 0.3323 0.5000
Er2 Er 0.3323 0.6677 0.5000
Te1 Te 0.7312 0.7312 0.6951
Te2 Te 0.2688 0.2688 0.3049
Te3 Te 0.6009 0.9321 0.3033
Te4 Te 0.0679 0.3991 0.6967
Te5 Te 0.3991 0.0679 0.6967
Te6 Te 0.9321 0.6009 0.3033
Rb1 Rb 0.8332 0.1668 0.0000
Rb2 Rb 0.1668 0.8332 0.0000
U1 U 0.0000 0.0000 0.5000
```

=====

Below is Rb3Er2UTe6 after structural relaxation, with properties calculated at the PBE-GGA level.

Computed properties:
The crystal system is monoclinic. For the electronic total energy, the calculation gives -4.692 eV/atom.

Cell and atoms, written as CIF:
```
data_Rb3Er2UTe6
_symmetry_space_group_name_H-M 'P 1'
_symmetry_Int_Tables_number 1
_symmetry_space_group_name_Hall 'P 1'
_cell_length_a 7.8559
_cell_length_b 7.8559
_cell_length_c 8.9540
_cell_angle_alpha 98.41
_cell_angle_beta 98.41
_cell_angle_gamma 120.00
loop_
_atom_site_label
_atom_site_type_symbol
_atom_site_fract_x
_atom_site_fract_y
_atom_site_fract_z
Te1 Te 0.7265 0.7265 0.1993
Te2 Te 0.4065 0.0666 0.1997
Te3 Te 0.0666 0.4065 0.1997
Te4 Te 0.5935 0.9334 0.8003
Te5 Te 0.2735 0.2735 0.8007
Te6 Te 0.9334 0.5935 0.8003
Rb1 Rb 0.8348 0.1652 0.5000
Rb2 Rb 0.1652 0.8348 0.5000
Rb3 Rb 0.5000 0.5000 0.5000
Er1 Er 0.6668 0.3332 0.0000
Er2 Er 0.3332 0.6668 0.0000
U1 U 0.0000 0.0000 0.0000
```

=====

Below is Rb3YEr2Te6 after structural relaxation, with properties calculated at the PBE-GGA level.

Computed properties:
The crystal system is monoclinic. For the electronic total energy, the calculation gives -4.491 eV/atom.

Cell and atoms, written as CIF:
```
data_Rb3YEr2Te6
_symmetry_space_group_name_H-M 'P 1'
_symmetry_Int_Tables_number 1
_symmetry_space_group_name_Hall 'P 1'
_cell_length_a 7.8076
_cell_length_b 7.8076
_cell_length_c 8.9348
_cell_angle_alpha 98.37
_cell_angle_beta 98.37
_cell_angle_gamma 120.00
loop_
_atom_site_label
_atom_site_type_symbol
_atom_site_fract_x
_atom_site_fract_y
_atom_site_fract_z
Te1 Te 0.2695 0.2695 0.8018
Te2 Te 0.9339 0.5984 0.8017
Te3 Te 0.4016 0.0661 0.1983
Te4 Te 0.5984 0.9339 0.8017
Te5 Te 0.7305 0.7305 0.1982
Te6 Te 0.0661 0.4016 0.1983
Er1 Er 0.6667 0.3333 0.0000
Er2 Er 0.3333 0.6667 0.0000
Rb1 Rb 0.5000 0.5000 0.5000
Rb2 Rb 0.1661 0.8339 0.5000
Rb3 Rb 0.8339 0.1661 0.5000
Y1 Y 0.0000 0.0000 0.0000
```

=====

Below is Rb2YErTe4 after structural relaxation, with properties calculated at the PBE-GGA level.

Computed properties:
The crystal system is monoclinic. For the electronic total energy, the calculation gives -4.575 eV/atom.

Cell and atoms, written as CIF:
```
data_Rb2YErTe4
_symmetry_space_group_name_H-M 'P 1'
_symmetry_Int_Tables_number 1
_symmetry_space_group_name_Hall 'P 1'
_cell_length_a 4.5137
_cell_length_b 7.8156
_cell_length_c 8.9354
_cell_angle_alpha 106.95
_cell_angle_beta 90.00
_cell_angle_gamma 90.00
loop_
_atom_site_label
_atom_site_type_symbol
_atom_site_fract_x
_atom_site_fract_y
_atom_site_fract_z
Er1 Er 0.0000 0.0000 0.0000
Te1 Te 0.0000 0.7349 0.1991
Te2 Te 0.5000 0.7693 0.8019
Te3 Te 0.5000 0.2307 0.1981
Te4 Te 0.0000 0.2651 0.8009
Rb1 Rb 0.5000 0.0000 0.5000
Rb2 Rb 0.0000 0.5000 0.5000
Y1 Y 0.5000 0.5000 0.0000
```

=====

Below is Rb3Y3ErTe8 after structural relaxation, with properties calculated at the PBE-GGA level.

Computed properties:
The crystal system is trigonal. For the electronic total energy, the calculation gives -4.791 eV/atom.

Cell and atoms, written as CIF:
```
data_Rb3Y3ErTe8
_symmetry_space_group_name_H-M 'P 1'
_symmetry_Int_Tables_number 1
_symmetry_space_group_name_Hall 'P 1'
_cell_length_a 8.8009
_cell_length_b 8.8035
_cell_length_c 10.2102
_cell_angle_alpha 115.54
_cell_angle_beta 90.00
_cell_angle_gamma 120.00
loop_
_atom_site_label
_atom_site_type_symbol
_atom_site_fract_x
_atom_site_fract_y
_atom_site_fract_z
Rb1 Rb 0.5000 0.5000 0.0000
Rb2 Rb 0.0000 0.0000 0.0000
Rb3 Rb 0.0000 0.5000 0.0000
Te1 Te 0.2329 0.9663 0.6989
Te2 Te 0.7671 0.0337 0.3011
Te3 Te 0.2328 0.4657 0.6989
Te4 Te 0.2666 0.0337 0.3011
Te5 Te 0.7336 0.4672 0.7007
Te6 Te 0.7672 0.5343 0.3011
Te7 Te 0.7334 0.9663 0.6989
Te8 Te 0.2664 0.5328 0.2993
Y1 Y 0.0000 0.5000 0.5000
Y2 Y 0.5000 0.5000 0.5000
Y3 Y 0.5000 0.0000 0.5000
Er1 Er 0.0000 0.0000 0.5000
```

=====

Below is Rb3YEr3Te8 after structural relaxation, with properties calculated at the PBE-GGA level.

Computed properties:
The crystal system is trigonal. For the electronic total energy, the calculation gives -4.524 eV/atom.

Cell and atoms, written as CIF:
```
data_Rb3YEr3Te8
_symmetry_space_group_name_H-M 'P 1'
_symmetry_Int_Tables_number 1
_symmetry_space_group_name_Hall 'P 1'
_cell_length_a 8.7646
_cell_length_b 8.7677
_cell_length_c 10.1825
_cell_angle_alpha 115.53
_cell_angle_beta 90.00
_cell_angle_gamma 119.99
loop_
_atom_site_label
_atom_site_type_symbol
_atom_site_fract_x
_atom_site_fract_y
_atom_site_fract_z
Y1 Y 0.0000 0.0000 0.5000
Rb1 Rb 0.0000 0.0000 0.0000
Rb2 Rb 0.0000 0.5000 0.0000
Rb3 Rb 0.5000 0.5000 0.0000
Te1 Te 0.7646 0.0359 0.3009
Te2 Te 0.2714 0.0359 0.3009
Te3 Te 0.2354 0.4709 0.6991
Te4 Te 0.2671 0.5342 0.3015
Te5 Te 0.2354 0.9641 0.6991
Te6 Te 0.7646 0.5291 0.3009
Te7 Te 0.7329 0.4658 0.6985
Te8 Te 0.7286 0.9641 0.6991
Er1 Er 0.5000 0.0000 0.5000
Er2 Er 0.0000 0.5000 0.5000
Er3 Er 0.5000 0.5000 0.5000
```

=====

Below is Rb3Er3ZrTe8 after structural relaxation, with properties calculated at the PBE-GGA level.

Computed properties:
The crystal system is trigonal. For the electronic total energy, the calculation gives -4.614 eV/atom.

Cell and atoms, written as CIF:
```
data_Rb3Er3ZrTe8
_symmetry_space_group_name_H-M 'P 1'
_symmetry_Int_Tables_number 1
_symmetry_space_group_name_Hall 'P 1'
_cell_length_a 8.7581
_cell_length_b 8.7554
_cell_length_c 10.1172
_cell_angle_alpha 115.64
_cell_angle_beta 90.00
_cell_angle_gamma 120.01
loop_
_atom_site_label
_atom_site_type_symbol
_atom_site_fract_x
_atom_site_fract_y
_atom_site_fract_z
Te1 Te 0.2257 0.4515 0.6928
Te2 Te 0.7743 0.5485 0.3072
Te3 Te 0.2672 0.5344 0.3017
Te4 Te 0.7328 0.4656 0.6983
Te5 Te 0.7415 0.9672 0.6928
Te6 Te 0.2585 0.0328 0.3072
Te7 Te 0.2257 0.9672 0.6928
Te8 Te 0.7743 0.0328 0.3072
Rb1 Rb 0.0000 0.0000 0.0000
Rb2 Rb 0.0000 0.5000 0.0000
Rb3 Rb 0.5000 0.5000 0.0000
Er1 Er 0.5000 0.0000 0.5000
Er2 Er 0.0000 0.5000 0.5000
Er3 Er 0.5000 0.5000 0.5000
Zr1 Zr 0.0000 0.0000 0.5000
```

=====

Below is RbErTl2 after structural relaxation, with properties calculated at the PBE-GGA level.

Computed properties:
The crystal system is tetragonal. The distance to the lowest polymorph of the same formula comes out at 0 meV per atom. The formation energy is -0.164 eV per atom.

Cell and atoms, written as CIF:
```
data_RbErTl2
_symmetry_space_group_name_H-M 'P 1'
_symmetry_Int_Tables_number 1
_symmetry_space_group_name_Hall 'P 1'
_cell_length_a 3.8707
_cell_length_b 3.8707
_cell_length_c 8.9767
_cell_angle_alpha 90.00
_cell_angle_beta 90.00
_cell_angle_gamma 90.00
loop_
_atom_site_label
_atom_site_type_symbol
_atom_site_fract_x
_atom_site_fract_y
_atom_site_fract_z
Tl1 Tl 0.0000 0.0000 0.1974
Tl2 Tl 0.0000 0.0000 0.8026
Er1 Er 0.5000 0.5000 0.0000
Rb1 Rb 0.5000 0.5000 0.5000
```

=====

Below is RbEr4Tl5 after structural relaxation, with properties calculated at the PBE-GGA level.

Computed properties:
The crystal system is tetragonal. The formation energy is -0.254 eV per atom.

Cell and atoms, written as CIF:
```
data_RbEr4Tl5
_symmetry_space_group_name_H-M 'P 1'
_symmetry_Int_Tables_number 1
_symmetry_space_group_name_Hall 'P 1'
_cell_length_a 3.8164
_cell_length_b 3.8164
_cell_length_c 20.1831
_cell_angle_alpha 90.00
_cell_angle_beta 90.00
_cell_angle_gamma 90.00
loop_
_atom_site_label
_atom_site_type_symbol
_atom_site_fract_x
_atom_site_fract_y
_atom_site_fract_z
Rb1 Rb 0.0000 0.0000 0.0000
Tl1 Tl 0.5000 0.5000 0.1364
Tl2 Tl 0.5000 0.5000 0.6843
Tl3 Tl 0.5000 0.5000 0.3157
Tl4 Tl 0.5000 0.5000 0.8636
Tl5 Tl 0.5000 0.5000 0.5000
Er1 Er 0.0000 0.0000 0.2218
Er2 Er 0.0000 0.0000 0.4071
Er3 Er 0.0000 0.0000 0.5929
Er4 Er 0.0000 0.0000 0.7782
```